No. 1
# Ce3Pu4P8 (GGA-PBE, optimized geometry)
data_Ce3Pu4P8
_space_group_name_H-M_alt 'C 1 2/m 1'
_space_group_IT_number 12
_space_group_name_Hall '-C 2y'
_cell_length_a 11.3740
_cell_length_b 11.3883
_cell_length_c 8.0471
_cell_angle_alpha 90.00
_cell_angle_beta 134.91
_cell_angle_gamma 90.00
loop_
_atom_site_label
_atom_site_type_symbol
_atom_site_fract_x
_atom_site_fract_y
_atom_site_fract_z
_atom_site_occupancy
Ce1 Ce 0.0000 0.0000 0.0000 1
Ce2 Ce 0.2500 0.2500 0.0000 1
Pu1 Pu 0.0000 0.5000 0.0000 1
Pu2 Pu 0.0000 0.5000 0.5000 1
Pu3 Pu 0.2500 0.2500 0.5000 1
P1 P 0.0000 0.2510 0.0000 1
P2 P 0.0000 0.2574 0.5000 1
P3 P 0.2384 0.5000 0.4937 1
P4 P 0.2397 0.5000 0.9836 1
# Volume = 369.1 Å³/f.u.
# Calculated formation energy = -1034.9 meV/atom
# N(E_F) = 3.3804 states/eV/atom

=====

No. 2
# CePu2P3 (GGA-PBE, optimized geometry)
data_CePu2P3
_space_group_name_H-M_alt 'I m m m'
_space_group_IT_number 71
_space_group_name_Hall '-I 2 2'
_cell_length_a 4.0452
_cell_length_b 5.7070
_cell_length_c 12.0758
_cell_angle_alpha 90.00
_cell_angle_beta 90.00
_cell_angle_gamma 90.00
loop_
_atom_site_label
_atom_site_type_symbol
_atom_site_fract_x
_atom_site_fract_y
_atom_site_fract_z
_atom_site_occupancy
Ce1 Ce 0.0000 0.0000 0.0000 1
Pu1 Pu 0.0000 0.0000 0.3342 1
P1 P 0.0000 0.5000 0.0000 1
P2 P 0.0000 0.5000 0.3291 1
# Volume = 139.4 Å³/f.u.
# Calculated formation energy = -1264.3 meV/atom
# N(E_F) = 3.2659 states/eV/atom

=====

No. 3
# CePuP (GGA-PBE, optimized geometry)
data_CePuP
_space_group_name_H-M_alt 'F -4 3 m'
_space_group_IT_number 216
_space_group_name_Hall 'F -4 2 3'
_cell_length_a 6.7411
_cell_length_b 6.7411
_cell_length_c 6.7411
_cell_angle_alpha 90.00
_cell_angle_beta 90.00
_cell_angle_gamma 90.00
loop_
_atom_site_label
_atom_site_type_symbol
_atom_site_fract_x
_atom_site_fract_y
_atom_site_fract_z
_atom_site_occupancy
Ce1 Ce 0.0000 0.0000 0.0000 1
Pu1 Pu 0.0000 0.0000 0.5000 1
P1 P 0.2500 0.2500 0.2500 1
# Volume = 76.6 Å³/f.u.
# Calculated formation energy = -635.9 meV/atom
# N(E_F) = 3.8622 states/eV/atom

=====

No. 4
# CePu4P5 (GGA-PBE, optimized geometry)
data_CePu4P5
_space_group_name_H-M_alt 'I m m m'
_space_group_IT_number 71
_space_group_name_Hall '-I 2 2'
_cell_length_a 4.0289
_cell_length_b 5.6910
_cell_length_c 20.0901
_cell_angle_alpha 90.00
_cell_angle_beta 90.00
_cell_angle_gamma 90.00
loop_
_atom_site_label
_atom_site_type_symbol
_atom_site_fract_x
_atom_site_fract_y
_atom_site_fract_z
_atom_site_occupancy
Ce1 Ce 0.0000 0.0000 0.0000 1
Pu1 Pu 0.0000 0.0000 0.2015 1
Pu2 Pu 0.0000 0.0000 0.3995 1
P1 P 0.0000 0.5000 0.0000 1
P2 P 0.0000 0.5000 0.1993 1
P3 P 0.0000 0.5000 0.3973 1
# Volume = 230.3 Å³/f.u.
# Calculated formation energy = -1216.4 meV/atom
# N(E_F) = 3.7140 states/eV/atom

=====

No. 5
# CePuP (GGA-PBE, optimized geometry)
data_CePuP
_space_group_name_H-M_alt 'I 4 m m'
_space_group_IT_number 107
_space_group_name_Hall 'I 4 -2'
_cell_length_a 3.8242
_cell_length_b 3.8242
_cell_length_c 8.8914
_cell_angle_alpha 90.00
_cell_angle_beta 90.00
_cell_angle_gamma 90.00
loop_
_atom_site_label
_atom_site_type_symbol
_atom_site_fract_x
_atom_site_fract_y
_atom_site_fract_z
_atom_site_occupancy
Ce1 Ce 0.0000 0.0000 0.0000 1
Pu1 Pu 0.0000 0.0000 0.6966 1
P1 P 0.0000 0.0000 0.3457 1
# Volume = 65.0 Å³/f.u.
# Calculated formation energy = -788.4 meV/atom
# N(E_F) = 1.7796 states/eV/atom

=====

No. 6
# Ce2PuP (GGA-PBE, optimized geometry)
data_Ce2PuP
_space_group_name_H-M_alt 'P 4/m m m'
_space_group_IT_number 123
_space_group_name_Hall '-P 4 2'
_cell_length_a 4.5141
_cell_length_b 4.5141
_cell_length_c 4.3539
_cell_angle_alpha 90.00
_cell_angle_beta 90.00
_cell_angle_gamma 90.00
loop_
_atom_site_label
_atom_site_type_symbol
_atom_site_fract_x
_atom_site_fract_y
_atom_site_fract_z
_atom_site_occupancy
Ce1 Ce 0.0000 0.5000 0.0000 1
Pu1 Pu 0.0000 0.0000 0.5000 1
P1 P 0.5000 0.5000 0.5000 1
# Offset from the most stable computed form = 0 meV per atom
# Volume = 88.7 Å³/f.u.
# Calculated formation energy = -567.5 meV/atom
# N(E_F) = 1.9939 states/eV/atom

=====

No. 7
# CePu2P4 (GGA-PBE, optimized geometry)
data_CePu2P4
_space_group_name_H-M_alt 'C m c m'
_space_group_IT_number 63
_space_group_name_Hall '-C 2c 2'
_cell_length_a 4.1556
_cell_length_b 13.6065
_cell_length_c 11.1829
_cell_angle_alpha 90.00
_cell_angle_beta 90.00
_cell_angle_gamma 90.00
loop_
_atom_site_label
_atom_site_type_symbol
_atom_site_fract_x
_atom_site_fract_y
_atom_site_fract_z
_atom_site_occupancy
Ce1 Ce 0.0000 0.1058 0.2500 1
Pu1 Pu 0.0000 0.3694 0.0567 1
P1 P 0.0000 0.0000 0.0000 1
P2 P 0.0000 0.2572 0.6505 1
P3 P 0.0000 0.4780 0.2500 1
# Volume = 158.1 Å³/f.u.
# Calculated formation energy = -962.9 meV/atom
# N(E_F) = 2.3619 states/eV/atom

=====

No. 8
# CePu2P (GGA-PBE, optimized geometry)
data_CePu2P
_space_group_name_H-M_alt 'F m -3 m'
_space_group_IT_number 225
_space_group_name_Hall '-F 4 2 3'
_cell_length_a 7.0021
_cell_length_b 7.0021
_cell_length_c 7.0021
_cell_angle_alpha 90.00
_cell_angle_beta 90.00
_cell_angle_gamma 90.00
loop_
_atom_site_label
_atom_site_type_symbol
_atom_site_fract_x
_atom_site_fract_y
_atom_site_fract_z
_atom_site_occupancy
Ce1 Ce 0.0000 0.0000 0.0000 1
Pu1 Pu 0.2500 0.2500 0.2500 1
P1 P 0.0000 0.0000 0.5000 1
# Offset from the most stable computed form = 233 meV per atom
# Volume = 85.8 Å³/f.u.
# Calculated formation energy = -250.2 meV/atom
# N(E_F) = 2.4284 states/eV/atom

=====

No. 9
# Ce2PuP (GGA-PBE, optimized geometry)
data_Ce2PuP
_space_group_name_H-M_alt 'R 3 m'
_space_group_IT_number 160
_space_group_name_Hall 'R 3 -2"'
_cell_length_a 3.7736
_cell_length_b 3.7736
_cell_length_c 25.5974
_cell_angle_alpha 90.00
_cell_angle_beta 90.00
_cell_angle_gamma 120.00
loop_
_atom_site_label
_atom_site_type_symbol
_atom_site_fract_x
_atom_site_fract_y
_atom_site_fract_z
_atom_site_occupancy
Ce1 Ce 0.0000 0.0000 0.0000 1
Ce2 Ce 0.0000 0.0000 0.1945 1
Pu1 Pu 0.0000 0.0000 0.7705 1
P1 P 0.0000 0.0000 0.5967 1
# Offset from the most stable computed form = 75 meV per atom
# Volume = 105.2 Å³/f.u.
# Calculated formation energy = -492.8 meV/atom
# N(E_F) = 2.8922 states/eV/atom

=====

No. 10
# CePu2P2Rh (GGA-PBE, optimized geometry)
data_CePu2P2Rh
_space_group_name_H-M_alt 'I 4/m m m'
_space_group_IT_number 139
_space_group_name_Hall '-I 4 2'
_cell_length_a 5.4599
_cell_length_b 5.4599
_cell_length_c 10.0017
_cell_angle_alpha 90.00
_cell_angle_beta 90.00
_cell_angle_gamma 90.00
loop_
_atom_site_label
_atom_site_type_symbol
_atom_site_fract_x
_atom_site_fract_y
_atom_site_fract_z
_atom_site_occupancy
Ce1 Ce 0.0000 0.0000 0.0000 1
Pu1 Pu 0.0000 0.5000 0.2500 1
P1 P 0.0000 0.0000 0.2737 1
Rh1 Rh 0.0000 0.0000 0.5000 1
# Volume = 149.1 Å³/f.u.
# Calculated formation energy = -579.3 meV/atom
# N(E_F) = 3.9271 states/eV/atom

=====

No. 11
# CePuPRh (GGA-PBE, optimized geometry)
data_CePuPRh
_space_group_name_H-M_alt 'P 4/n m m'
_space_group_IT_number 129
_cell_length_a 4.2499
_cell_length_b 4.2499
_cell_length_c 10.4902
_cell_angle_alpha 90.00
_cell_angle_beta 90.00
_cell_angle_gamma 90.00
loop_
_space_group_symop_operation_xyz
'x,y,z'
'-x,-y,-z'
'-y+1/2,x,z'
'y+1/2,-x,-z'
'-x+1/2,-y+1/2,z'
'x+1/2,y+1/2,-z'
'y,-x+1/2,z'
'-y,x+1/2,-z'
'x+1/2,-y,-z'
'-x+1/2,y,z'
'-y,-x,-z'
'y,x,z'
'-x,y+1/2,-z'
'x,-y+1/2,z'
'y+1/2,x+1/2,-z'
'-y+1/2,-x+1/2,z'
loop_
_atom_site_label
_atom_site_type_symbol
_atom_site_fract_x
_atom_site_fract_y
_atom_site_fract_z
_atom_site_occupancy
Ce1 Ce 0.2500 0.2500 0.1526 1
Pu1 Pu 0.2500 0.7500 0.5000 1
P1 P 0.2500 0.2500 0.8918 1
Rh1 Rh 0.2500 0.2500 0.6746 1
# Volume = 94.7 Å³/f.u.
# Calculated formation energy = -641.7 meV/atom
# N(E_F) = 2.7696 states/eV/atom

=====

No. 12
# Ce2Pu2Sb2P (GGA-PBE, optimized geometry)
data_Ce2Pu2Sb2P
_space_group_name_H-M_alt 'I 4/m m m'
_space_group_IT_number 139
_space_group_name_Hall '-I 4 2'
_cell_length_a 5.1224
_cell_length_b 5.1224
_cell_length_c 16.4181
_cell_angle_alpha 90.00
_cell_angle_beta 90.00
_cell_angle_gamma 90.00
loop_
_atom_site_label
_atom_site_type_symbol
_atom_site_fract_x
_atom_site_fract_y
_atom_site_fract_z
_atom_site_occupancy
Ce1 Ce 0.0000 0.0000 0.1686 1
Pu1 Pu 0.0000 0.5000 0.0000 1
Sb1 Sb 0.0000 0.0000 0.3656 1
P1 P 0.0000 0.0000 0.0000 1
# Formation energy from raw total energies = -0.66 eV/atom
# Volume = 215.4 Å³/f.u.
# N(E_F) = 4.1733 states/eV/atom